# 1
Here is an optimized crystal structure of Er2PaN4 from the Open Quantum Materials Database. Energies are from PBE.

SG: Pbam (55)

Lattice parameters (Å, degrees): 5.813 9.630 3.544 90.00 90.00 90.00
Atoms (fractional coordinates):
1 N 0.260 0.960 0.500
2 N 0.159 0.705 0.000
3 N 0.341 0.205 0.000
4 N 0.841 0.295 0.000
5 N 0.740 0.040 0.500
6 N 0.760 0.540 0.500
7 N 0.659 0.795 0.000
8 N 0.240 0.460 0.500
9 Er 0.440 0.675 0.500
10 Er 0.560 0.325 0.500
11 Er 0.940 0.825 0.500
12 Er 0.060 0.175 0.500
13 Pa 0.000 0.500 0.000
14 Pa 0.500 0.000 0.000

# 2
Here is an optimized crystal structure of Er4Pb2N from the Open Quantum Materials Database. Energies are from PBE.

SG: I4/mmm (139)

Lattice parameters (Å, degrees): 8.612 8.612 8.612 148.37 148.37 45.34
Atoms (fractional coordinates):
1 Er 0.155 0.155 0.000
2 Er 0.845 0.845 0.000
3 Er 0.000 0.500 0.500
4 Er 0.500 0.000 0.500
5 Pb 0.645 0.645 0.000
6 Pb 0.355 0.355 0.000
7 N 0.000 0.000 0.000

# 3
Here is an optimized crystal structure of Er4PbSN2 from the Open Quantum Materials Database. Energies are from PBE.

SG: P-6m2 (187)

Lattice parameters (Å, degrees): 3.537 3.537 13.947 90.00 90.00 120.00
Atoms (fractional coordinates):
1 S 0.333 0.667 0.500
2 Er 0.000 0.000 0.367
3 Er 0.000 0.000 0.633
4 Er 0.333 0.667 0.183
5 Er 0.333 0.667 0.817
6 Pb 0.000 0.000 0.000
7 N 0.667 0.333 0.275
8 N 0.667 0.333 0.725

# 4
Here is an optimized crystal structure of Er4SnPbN2 from the Open Quantum Materials Database. Energies are from PBE.

SG: P-6m2 (187)

Lattice parameters (Å, degrees): 3.502 3.502 15.321 90.00 90.00 120.00
Atoms (fractional coordinates):
1 Er 0.333 0.667 0.832
2 Er 0.333 0.667 0.168
3 Er 0.000 0.000 0.663
4 Er 0.000 0.000 0.337
5 Sn 0.333 0.667 0.500
6 N 0.667 0.333 0.749
7 N 0.667 0.333 0.251
8 Pb 0.000 0.000 0.000

# 5
Here is an optimized crystal structure of TbErPbN from the Open Quantum Materials Database. Energies are from PBE.

SG: P-6m2 (187)

Lattice parameters (Å, degrees): 3.538 3.538 15.577 90.00 90.00 120.00
Atoms (fractional coordinates):
1 N 0.333 0.667 0.746
2 N 0.333 0.667 0.254
3 Pb 0.667 0.333 0.500
4 Pb 0.000 0.000 0.000
5 Er 0.000 0.000 0.666
6 Er 0.000 0.000 0.334
7 Tb 0.667 0.333 0.167
8 Tb 0.667 0.333 0.833

# 6
Here is an optimized crystal structure of Tb3ErPb2N2 from the Open Quantum Materials Database. Energies are from PBE.

SG: P3m1 (156)

Lattice parameters (Å, degrees): 3.551 3.551 15.651 90.00 90.00 120.00
Atoms (fractional coordinates):
1 Tb 0.667 0.333 0.416
2 Tb 0.667 0.333 0.083
3 Tb 0.000 0.000 0.584
4 Er 0.000 0.000 0.918
5 N 0.333 0.667 0.500
6 N 0.333 0.667 0.997
7 Pb 0.000 0.000 0.250
8 Pb 0.667 0.333 0.752

# 7
Here is an optimized crystal structure of TbErPbN from the Open Quantum Materials Database. Energies are from PBE.

SG: P-3m1 (164)

Lattice parameters (Å, degrees): 3.538 3.538 15.580 90.00 90.00 120.00
Atoms (fractional coordinates):
1 N 0.000 0.000 0.000
2 N 0.000 0.000 0.500
3 Tb 0.333 0.667 0.084
4 Tb 0.667 0.333 0.916
5 Pb 0.667 0.333 0.253
6 Pb 0.333 0.667 0.747
7 Er 0.333 0.667 0.418
8 Er 0.667 0.333 0.582

# 8
Here is an optimized crystal structure of TbEr3Pb2N2 from the Open Quantum Materials Database. Energies are from PBE.

SG: P3m1 (156)

Lattice parameters (Å, degrees): 3.525 3.525 15.500 90.00 90.00 120.00
Atoms (fractional coordinates):
1 Tb 0.000 0.000 0.084
2 Er 0.333 0.667 0.583
3 Er 0.000 0.000 0.418
4 Er 0.333 0.667 0.916
5 N 0.667 0.333 0.996
6 N 0.667 0.333 0.500
7 Pb 0.333 0.667 0.252
8 Pb 0.000 0.000 0.749

# 9
Here is an optimized crystal structure of ErTmPbN from the Open Quantum Materials Database. Energies are from PBE.

SG: P-6m2 (187)

Lattice parameters (Å, degrees): 3.503 3.503 15.371 90.00 90.00 120.00
Atoms (fractional coordinates):
1 Tm 0.667 0.333 0.333
2 Tm 0.667 0.333 0.667
3 Pb 0.667 0.333 0.000
4 Pb 0.333 0.667 0.500
5 N 0.000 0.000 0.749
6 N 0.000 0.000 0.251
7 Er 0.333 0.667 0.167
8 Er 0.333 0.667 0.833

# 10
Here is an optimized crystal structure of ErTmPbN from the Open Quantum Materials Database. Energies are from PBE.

SG: P-3m1 (164)

Lattice parameters (Å, degrees): 3.503 3.503 15.375 90.00 90.00 120.00
Atoms (fractional coordinates):
1 Pb 0.333 0.667 0.749
2 Pb 0.667 0.333 0.251
3 Er 0.333 0.667 0.083
4 Er 0.667 0.333 0.917
5 N 0.000 0.000 0.000
6 N 0.000 0.000 0.500
7 Tm 0.333 0.667 0.417
8 Tm 0.667 0.333 0.583

# 11
Here is an optimized crystal structure of YEr3Pb2N2 from the Open Quantum Materials Database. Energies are from PBE.

SG: P3m1 (156)

Lattice parameters (Å, degrees): 3.524 3.524 15.465 90.00 90.00 120.00
Atoms (fractional coordinates):
1 N 0.333 0.667 0.003
2 N 0.333 0.667 0.500
3 Er 0.000 0.000 0.583
4 Er 0.667 0.333 0.417
5 Er 0.667 0.333 0.083
6 Pb 0.000 0.000 0.250
7 Pb 0.667 0.333 0.748
8 Y 0.000 0.000 0.916

# 12
Here is an optimized crystal structure of PmEr2N2 from the Open Quantum Materials Database. Energies are from PBE.

SG: Fddd (70)

Lattice parameters (Å, degrees): 8.627 7.054 6.821 76.87 52.78 50.35
Atoms (fractional coordinates):
1 N 0.125 0.625 0.625
2 N 0.625 0.625 0.625
3 N 0.625 0.625 0.125
4 N 0.625 0.125 0.625
5 Er 0.249 0.249 0.751
6 Er 0.499 0.499 0.001
7 Er 0.001 0.001 0.499
8 Er 0.751 0.751 0.249
9 Pm 0.500 0.500 0.500
10 Pm 0.750 0.750 0.750

For the records above, the corresponding total DFT energy (no corrections) values read -8.931; -5.707; -6.830; -6.482; -6.408; -6.410; -6.407; -6.405; -6.383; -6.383; -6.639; -6.696 eV/atom.
For the records above, the corresponding theoretical density values read 10.4; 10.4; 10.3; 10.4; 10.8; 10.6; 10.8; 11.0; 11.3; 11.3; 10.3; 6.9 g/cm³.